Record 1
# IrRh3I

Crystalline IrRh3I at its relaxed geometry (GGA-PBE, Alexandria via LeMat-Bulk).

Unit cell a=4.7916 b=4.7916 c=4.7916 alpha=90.00 beta=90.00 gamma=90.00
Last column: nearest neighbours and their distance in Å.
Positions (direct):
Rh 0.0000 0.0000 0.5000  2 Ir 2.40
Rh 0.5000 0.0000 0.0000  2 Ir 2.40
I 0.5000 0.5000 0.5000  12 Rh 3.39
Rh 0.0000 0.5000 0.0000  2 Ir 2.40
Ir 0.0000 0.0000 0.0000  6 Rh 2.40

Values from the calculation:
formation energy from raw total energies = 121 kJ per mole of atoms
E_tot = -5.2408 eV per atom
calculated volume = 110 Å³ per cell
space-group type = Pm-3m (221)
total magnetization = 0.000 μB/cell
offset from the most stable computed form = 0.000 eV/atom



Record 2
# IrRhI2

Crystalline IrRhI2 at its relaxed geometry (GGA-PBE, Alexandria via LeMat-Bulk).

Unit cell a=4.8352 b=4.8352 c=4.8352 alpha=60.00 beta=60.00 gamma=60.00
Last column: nearest neighbours and their distance in Å.
Positions (direct):
Ir 0.5000 0.5000 0.5000  8 I 2.96
I 0.2500 0.2500 0.2500  4 Ir 2.96, 4 Rh 2.96
I 0.7500 0.7500 0.7500  4 Rh 2.96, 4 Ir 2.96
Rh 0.0000 0.0000 0.0000  8 I 2.96

Values from the calculation:
formation energy from raw total energies = 92 kJ per mole of atoms
E_tot = -3.8711 eV per atom
calculated volume = 80 Å³ per cell
space-group type = Fm-3m (225)
total magnetization = 0.000 μB/cell
offset from the most stable computed form = 0.280 eV/atom



Record 3
# IrRh2I

Crystalline IrRh2I at its relaxed geometry (GGA-PBE, Alexandria via LeMat-Bulk).

Unit cell a=4.5513 b=4.5513 c=4.5513 alpha=60.00 beta=60.00 gamma=60.00
Last column: nearest neighbours and their distance in Å.
Positions (direct):
I 0.0000 0.0000 0.0000  8 Rh 2.79
Rh 0.2500 0.2500 0.2500  4 Ir 2.79, 4 I 2.79
Rh 0.7500 0.7500 0.7500  4 Ir 2.79, 4 I 2.79
Ir 0.5000 0.5000 0.5000  8 Rh 2.79

Values from the calculation:
formation energy from raw total energies = 72 kJ per mole of atoms
E_tot = -5.5290 eV per atom
calculated volume = 67 Å³ per cell
space-group type = Fm-3m (225)
total magnetization = 0.000 μB/cell
offset from the most stable computed form = 0.000 eV/atom



Record 4
# IrRh2I

Crystalline IrRh2I at its relaxed geometry (GGA-PBE, Alexandria via LeMat-Bulk).

Unit cell a=5.5584 b=5.5584 c=7.4065 alpha=67.96 beta=67.96 gamma=90.00
Last column: nearest neighbours and their distance in Å.
Positions (direct):
Rh 0.6613 0.1250 0.2500  2 Ir 2.41, 2 I 2.63
Ir 0.0000 0.0000 0.0000  4 Rh 2.41
Rh 0.3750 0.3387 0.7500  2 Ir 2.41, 2 I 2.63
Rh 0.0887 0.6250 0.2500  2 Ir 2.41, 2 I 2.63
I 0.5000 0.5000 0.0000  4 Rh 2.63
Ir 0.7500 0.2500 0.5000  4 Rh 2.41
Rh 0.8750 0.9113 0.7500  2 Ir 2.41, 2 I 2.63
I 0.2500 0.7500 0.5000  4 Rh 2.63

Values from the calculation:
formation energy from raw total energies = 82 kJ per mole of atoms
E_tot = -5.4258 eV per atom
calculated volume = 194 Å³ per cell
space-group type = I-42d (122)
total magnetization = 0.000 μB/cell
offset from the most stable computed form = 0.103 eV/atom